1.
First-principles (SCAN) data for a PBEsol-optimized structure of Sc2TaCd, as listed in Alexandria via LeMat-Bulk.

abc: 3.0853 3.0853 8.4823
angles: 90.00 90.00 90.00
With the nearest neighbours (Å) after each atom.
Fractional coordinates of all 4 atoms:
Sc1 0.0000 0.0000 0.2439  4 Ta 3.01, 4 Cd 3.08, 4 Sc 3.09
Sc2 0.0000 0.0000 0.7561  4 Ta 3.01, 4 Cd 3.08, 4 Sc 3.09
Ta1 0.5000 0.5000 0.0000  8 Sc 3.01, 4 Ta 3.09
Cd1 0.5000 0.5000 0.5000  8 Sc 3.08, 4 Cd 3.09

## Properties
formation energy	-0.09	eV per atom

=====

2.
First-principles (SCAN) data for a PBEsol-optimized structure of LiLa3Bi, as listed in Alexandria via LeMat-Bulk.

abc: 6.1279 6.1279 6.1279
angles: 90.00 90.00 90.00
With the nearest neighbours (Å) after each atom.
Fractional coordinates of all 5 atoms:
Li1 0.0000 0.0000 0.0000  12 La 4.33
La1 0.0000 0.5000 0.5000  2 Bi 3.06
La2 0.5000 0.0000 0.5000  2 Bi 3.06
La3 0.5000 0.5000 0.0000  2 Bi 3.06
Bi1 0.5000 0.5000 0.5000  6 La 3.06

## Properties
formation energy	0.07	eV per atom

=====

3.
First-principles (SCAN) data for a PBEsol-optimized structure of TlFe2Se2, as listed in Alexandria via LeMat-Bulk.

abc: 5.3012 5.3012 5.3012
angles: 126.40 126.40 79.23
With the nearest neighbours (Å) after each atom.
Fractional coordinates of all 5 atoms:
Tl1 0.0000 0.0000 0.0000  2 Fe 2.95, 8 Se 3.14
Fe1 0.3607 0.3607 0.0000  1 Fe 2.28
Fe2 0.6393 0.6393 0.0000  1 Fe 2.28
Se1 0.2500 0.7500 0.5000  4 Fe 2.56
Se2 0.7500 0.2500 0.5000  4 Fe 2.56

## Properties
uncorrected formation energy	0.106	eV per atom

=====

4.
First-principles (SCAN) data for a PBEsol-optimized structure of ZnPt2Cl, as listed in Alexandria via LeMat-Bulk.

abc: 2.8752 2.8752 7.5264
angles: 90.00 90.00 90.00
With the nearest neighbours (Å) after each atom.
Fractional coordinates of all 4 atoms:
Zn1 0.0000 0.0000 0.0000  4 Pt 2.63, 4 Cl 2.68, 4 Zn 2.88
Pt1 0.0000 0.0000 0.5277  8 Pt 2.78-2.88, 4 Cl 3.01
Pt2 0.5000 0.5000 0.7793  4 Zn 2.63, 8 Pt 2.78-2.88
Cl1 0.5000 0.5000 0.2329  4 Zn 2.68, 4 Cl 2.88

## Properties
uncorrected formation energy	0.040	eV per atom

=====

5.
First-principles (SCAN) data for a PBEsol-optimized structure of CuBr, as listed in Alexandria via LeMat-Bulk.

abc: 7.0871 7.0871 7.0871
angles: 30.76 30.76 30.76
With the nearest neighbours (Å) after each atom.
Fractional coordinates of all 4 atoms:
Cu1 0.1312 0.1312 0.1312  3 Br 2.42, 3 Cu 2.60
Cu2 0.8688 0.8688 0.8688  3 Br 2.42, 3 Cu 2.60
Br1 0.4113 0.4113 0.4113  3 Cu 2.42
Br2 0.5887 0.5887 0.5887  3 Cu 2.42

## Properties
uncorrected formation energy	-0.198	eV per atom

=====

6.
First-principles (SCAN) data for a PBEsol-optimized structure of MnTeWN2, as listed in Alexandria via LeMat-Bulk.

abc: 3.7385 3.7385 5.1863
angles: 90.00 90.00 90.00
With the nearest neighbours (Å) after each atom.
Fractional coordinates of all 5 atoms:
Mn1 0.0000 0.0000 0.0000  4 N 1.87
Te1 0.0000 0.0000 0.5000  2 Mn 2.59, 4 W 2.64
W1 0.5000 0.5000 0.5000  4 Te 2.64
N1 0.0000 0.5000 0.0000  2 Mn 1.87
N2 0.5000 0.0000 0.0000  2 Mn 1.87

## Properties
uncorrected formation energy	1.344	eV per atom

=====

7.
First-principles (SCAN) data for a PBEsol-optimized structure of Zn2CdSe, as listed in Alexandria via LeMat-Bulk.

abc: 5.2345 5.2345 5.2345
angles: 141.30 113.45 79.72
With the nearest neighbours (Å) after each atom.
Fractional coordinates of all 4 atoms:
Zn1 0.2334 0.2334 0.0000  2 Se 2.55, 2 Cd 2.76
Zn2 0.7666 0.7666 0.0000  2 Se 2.55, 2 Cd 2.76
Cd1 0.5000 0.0000 0.5000  4 Zn 2.76
Se1 0.0000 0.5000 0.5000  4 Zn 2.55

## Properties
uncorrected formation energy	0.089	eV per atom

=====

8.
First-principles (SCAN) data for a PBEsol-optimized structure of Sc2Ru, as listed in Alexandria via LeMat-Bulk.

abc: 8.5444 8.5444 8.5444
angles: 60.00 60.00 60.00
With the nearest neighbours (Å) after each atom.
Fractional coordinates of all 24 atoms:
Sc1 0.0000 0.0000 0.0000  6 Ru 2.64
Sc2 0.0000 0.0000 0.5000  6 Ru 2.64
Sc3 0.0000 0.5000 0.0000  6 Ru 2.64
Sc4 0.1862 0.1862 0.5638  4 Ru 2.80-3.09, 2 Sc 3.10
Sc5 0.1862 0.5638 0.1862  4 Ru 2.80-3.09, 2 Sc 3.10
Sc6 0.1862 0.5638 0.5638  4 Ru 2.80-3.09, 2 Sc 3.10
Sc7 0.4362 0.4362 0.8138  4 Ru 2.80-3.09, 2 Sc 3.10
Sc8 0.4362 0.8138 0.4362  4 Ru 2.80-3.09, 2 Sc 3.10
Sc9 0.4362 0.8138 0.8138  4 Ru 2.80-3.09, 2 Sc 3.10
Sc10 0.5000 0.0000 0.0000  6 Ru 2.64
Sc11 0.5638 0.1862 0.1862  4 Ru 2.80-3.09, 2 Sc 3.10
Sc12 0.5638 0.1862 0.5638  4 Ru 2.80-3.09, 2 Sc 3.10
Sc13 0.5638 0.5638 0.1862  4 Ru 2.80-3.09, 2 Sc 3.10
Sc14 0.8138 0.4362 0.4362  4 Ru 2.80-3.09, 2 Sc 3.10
Sc15 0.8138 0.4362 0.8138  4 Ru 2.80-3.09, 2 Sc 3.10
Sc16 0.8138 0.8138 0.4362  4 Ru 2.80-3.09, 2 Sc 3.10
Ru1 0.1368 0.7877 0.7877  6 Sc 2.64-2.80
Ru2 0.2123 0.2123 0.2123  6 Sc 2.64-2.80
Ru3 0.2123 0.2123 0.8632  6 Sc 2.64-2.80
Ru4 0.2123 0.8632 0.2123  6 Sc 2.64-2.80
Ru5 0.7877 0.1368 0.7877  6 Sc 2.64-2.80
Ru6 0.7877 0.7877 0.1368  6 Sc 2.64-2.80
Ru7 0.7877 0.7877 0.7877  6 Sc 2.64-2.80
Ru8 0.8632 0.2123 0.2123  6 Sc 2.64-2.80

## Properties
formation energy	-0.45	eV per atom

=====

Here are the calculated total DFT energy (no corrections) numbers, same order: -31.46, -41.99, -29.65, -40.43, -17.53, -27.41, -19.29, -21.55 (eV/atom).